A plane-wave DFT calculation with GGA-PBE was carried out for a relaxed Tb5Al2Tl2 crystal.

M_tot: 0.00 Bohr magnetons per cell
DFT formation energy: -0.33 eV per atom
VASP energy: -4.26 eV per atom

Cell: 7.8062 7.9433 9.0461 Å, 116.04 90.00 90.00°
Last column: nearest neighbours and their distance in Å.
Fractional coordinates of all 18 atoms:
Al1 0.6184 0.8830 0.0000  1 Al 2.62
Al2 0.8816 0.3830 0.0000  1 Al 2.62
Al3 0.1184 0.6170 0.0000  1 Al 2.62
Al4 0.3816 0.1170 0.0000  1 Al 2.62
Tb1 0.6770 0.0549 0.7364  3 Al 3.09-3.26, 3 Tl 3.17-3.25
Tb2 0.1770 0.4451 0.2636  3 Al 3.09-3.26, 3 Tl 3.17-3.25
Tb3 0.1770 0.1815 0.7364  3 Al 3.09-3.26, 3 Tl 3.17-3.25
Tb4 0.8230 0.5549 0.7364  3 Al 3.09-3.26, 3 Tl 3.17-3.25
Tb5 0.5000 0.5000 0.0000  4 Al 3.12-3.18
Tb6 0.0000 0.0000 0.0000  4 Al 3.12-3.18
Tb7 0.8230 0.8185 0.2636  3 Al 3.09-3.26, 3 Tl 3.17-3.25
Tb8 0.3230 0.6815 0.7364  3 Al 3.09-3.26, 3 Tl 3.17-3.25
Tb9 0.3230 0.9451 0.2636  3 Al 3.09-3.26, 3 Tl 3.17-3.25
Tb10 0.6770 0.3185 0.2636  3 Al 3.09-3.26, 3 Tl 3.17-3.25
Tl1 0.5000 0.2813 0.5626  6 Tb 3.17-3.25
Tl2 0.5000 0.7187 0.4374  6 Tb 3.17-3.25
Tl3 0.0000 0.2187 0.4374  6 Tb 3.17-3.25
Tl4 0.0000 0.7813 0.5626  6 Tb 3.17-3.25

A plane-wave DFT calculation with GGA-PBE was carried out for a relaxed TbAlTl2 crystal.

distance to the lowest polymorph of the same formula: 0 meV per atom
M_tot: 0.00 Bohr magnetons per cell
DFT formation energy: -0.21 eV per atom
VASP energy: -3.49 eV per atom

Cell: 4.6200 4.6275 4.6275 Å, 90.00 90.00 90.00°
Last column: nearest neighbours and their distance in Å.
Fractional coordinates of all 4 atoms:
Tb1 0.5000 0.5000 0.5000  8 Tl 3.27, 4 Al 3.27
Al1 0.5000 0.0000 0.0000  8 Tl 3.27, 4 Tb 3.27
Tl1 0.0000 0.0000 0.5000  4 Tb 3.27, 4 Al 3.27, 4 Tl 3.27
Tl2 0.0000 0.5000 0.0000  4 Tb 3.27, 4 Al 3.27, 4 Tl 3.27

A plane-wave DFT calculation with GGA-PBE was carried out for a relaxed Tb2AlTl crystal.

M_tot: 0.00 Bohr magnetons per cell
DFT formation energy: -0.37 eV per atom
VASP energy: -4.21 eV per atom

Cell: 3.6513 3.6513 7.7381 Å, 90.00 90.00 90.00°
Last column: nearest neighbours and their distance in Å.
Fractional coordinates of all 4 atoms:
Tb1 0.0000 0.0000 0.2355  4 Al 3.16, 4 Tl 3.29
Tb2 0.0000 0.0000 0.7645  4 Al 3.16, 4 Tl 3.29
Al1 0.5000 0.5000 0.0000  8 Tb 3.16
Tl1 0.5000 0.5000 0.5000  8 Tb 3.29, 4 Tl 3.65